# Ga3Ge

A geometry-optimized Ga3Ge structure (PBE, the Alexandria database).

Cell lengths 3.9551, 3.9551, 9.6613 Å; angles 90.00, 90.00, 90.00 degrees
Space group I4/mmm (No. 139)
Asymmetric unit:
Ga (0.0000, 0.0000, 0.0000) x2
Ga (0.0000, 0.5000, 0.2500) x4
Ge (0.0000, 0.0000, 0.5000) x2

DOS at the Fermi energy = 0.401 states/eV per atom
density = 6.2 g/cm³
offset from the most stable computed form = 0.03 eV per formula unit
E_form = 0.0932 eV/atom



# Ga3Ge

A geometry-optimized Ga3Ge structure (PBE, the Alexandria database).

Cell lengths 6.7265, 6.7265, 6.7265 Å; angles 90.00, 90.00, 90.00 degrees
Space group Fm-3m (No. 225)
Asymmetric unit:
Ga (0.0000, 0.0000, 0.0000) x4
Ga (0.2500, 0.2500, 0.2500) x8
Ge (0.0000, 0.0000, 0.5000) x4

DOS at the Fermi energy = 0.553 states/eV per atom
density = 6.2 g/cm³
offset from the most stable computed form = 0.00 eV per formula unit
E_form = 0.0854 eV/atom



# GaGe3

A geometry-optimized GaGe3 structure (PBE, the Alexandria database).

Cell lengths 4.2711, 4.2711, 4.2711 Å; angles 90.00, 90.00, 90.00 degrees
Space group Pm-3m (No. 221)
Asymmetric unit:
Ga (0.0000, 0.0000, 0.0000) x1
Ge (0.0000, 0.5000, 0.5000) x3

DOS at the Fermi energy = 0.847 states/eV per atom
density = 6.1 g/cm³
offset from the most stable computed form = 0.31 eV per formula unit
E_form = 0.2634 eV/atom



# Ga3Ge

A geometry-optimized Ga3Ge structure (PBE, the Alexandria database).

Cell lengths 5.9301, 5.9301, 5.0040 Å; angles 90.00, 90.00, 120.00 degrees
Space group P6_3/mmc (No. 194)
Asymmetric unit:
Ga (0.1665, 0.3331, 0.2500) x6
Ge (0.3333, 0.6667, 0.7500) x2

DOS at the Fermi energy = 0.347 states/eV per atom
density = 6.1 g/cm³
offset from the most stable computed form = 0.03 eV per formula unit
E_form = 0.0926 eV/atom



# Ga2Ge

A geometry-optimized Ga2Ge structure (PBE, the Alexandria database).

Cell lengths 7.7754, 7.7754, 7.7754 Å; angles 90.00, 90.00, 90.00 degrees
Space group Fd-3m (No. 227, origin choice 2)
Asymmetric unit:
Ga (0.0000, 0.0000, 0.0000) x16
Ge (0.1250, 0.1250, 0.6250) x8

DOS at the Fermi energy = 0.637 states/eV per atom
density = 6.0 g/cm³
offset from the most stable computed form = 0.33 eV per formula unit
E_form = 0.2325 eV/atom



# Ga8Ge

A geometry-optimized Ga8Ge structure (PBE, the Alexandria database).

Cell lengths 2.8601, 15.8126, 7.6542 Å; angles 90.00, 98.10, 90.00 degrees
Space group C2/m (No. 12)
Asymmetric unit:
Ga (0.0000, 0.1699, 0.0000) x4
Ga (0.1641, 0.3286, 0.3333) x8
Ga (0.1680, 0.5000, 0.3285) x4
Ge (0.0000, 0.0000, 0.0000) x2

DOS at the Fermi energy = 0.442 states/eV per atom
density = 6.1 g/cm³
E_form = 0.0463 eV/atom